(1)
Here is an optimized crystal structure of NpZnOsRh from Alexandria via LeMat-Bulk. Energies are from PBE.

Unit cell a=4.5632 b=4.5632 c=4.5632 alpha=60.00 beta=60.00 gamma=60.00
Sites, in units of the cell vectors:
Np1 0.0000 0.0000 0.0000
Zn1 0.5000 0.5000 0.5000
Os1 0.2500 0.2500 0.2500
Rh1 0.7500 0.7500 0.7500

Summary:
SG: No. 216
E_tot (eV per atom): -8.29
D(E_F) (states/eV per cell): 5.408
Theoretical density (kg/m3): 14718

(2)
Here is an optimized crystal structure of ZrNpOsRh from Alexandria via LeMat-Bulk. Energies are from PBE.

Unit cell a=4.7299 b=4.7299 c=4.7299 alpha=60.00 beta=60.00 gamma=60.00
Sites, in units of the cell vectors:
Zr1 0.0000 0.0000 0.0000
Np1 0.5000 0.5000 0.5000
Os1 0.7500 0.7500 0.7500
Rh1 0.2500 0.2500 0.2500

Summary:
SG: No. 216
E_tot (eV per atom): -10.29
D(E_F) (states/eV per cell): 5.872
Theoretical density (kg/m3): 13789

(3)
Here is an optimized crystal structure of NpOsRu2 from Alexandria via LeMat-Bulk. Energies are from PBE.

Unit cell a=9.7285 b=9.7285 c=9.7285 alpha=16.21 beta=16.21 gamma=16.21
Sites, in units of the cell vectors:
Np1 0.0000 0.0000 0.0000
Os1 0.5000 0.5000 0.5000
Ru1 0.2420 0.2420 0.2420
Ru2 0.7580 0.7580 0.7580

Summary:
SG: No. 166
E_tot (eV per atom): -10.45
D(E_F) (states/eV per cell): 6.277
Theoretical density (kg/m3): 16706
Energy above the lowest structure with this stoichiometry (eV/atom): 0.283

(4)
Here is an optimized crystal structure of Np2OsRu from Alexandria via LeMat-Bulk. Energies are from PBE.

Unit cell a=3.4583 b=3.4583 c=6.3907 alpha=90.00 beta=90.00 gamma=90.00
Sites, in units of the cell vectors:
Np1 0.0000 0.0000 0.2502
Np2 0.0000 0.0000 0.7498
Os1 0.5000 0.5000 0.0000
Ru1 0.5000 0.5000 0.5000

Summary:
SG: No. 123
E_tot (eV per atom): -11.51
D(E_F) (states/eV per cell): 7.792
Theoretical density (kg/m3): 16627
Energy above the lowest structure with this stoichiometry (eV/atom): 0.001

| no. | formation energy (kJ/mol of atoms) |
| --- | --- |
| 1 | -8.56 |
| 2 | -26.61 |
| 3 | 22.30 |
| 4 | 8.67 |